# SrCa3Tl

A relaxed structure of SrCa3Tl (GGA-PBE, the Alexandria database).

As for the calculated formation energy: -0.166 eV per atom.

a b c (Å): 7.8055 5.5852 8.9671
angles (deg): 90.00 90.00 90.00
Fractional coordinates of all 10 atoms:
Sr (0.2463, 0.2500, 0.2495)
Sr (0.7537, 0.7500, 0.7505)
Ca (0.1906, 0.7500, 0.5490)
Ca (0.1913, 0.7500, 0.9506)
Ca (0.4282, 0.2500, 0.7491)
Ca (0.5718, 0.7500, 0.2509)
Ca (0.8087, 0.2500, 0.0494)
Ca (0.8094, 0.2500, 0.4510)
Tl (0.0316, 0.2500, 0.7504)
Tl (0.9684, 0.7500, 0.2496)



# Pm2SnBi

A relaxed structure of Pm2SnBi (GGA-PBE, the Alexandria database).

As for the calculated formation energy: -0.845 eV per atom.

a b c (Å): 12.5478 12.5478 4.4639
angles (deg): 90.00 90.00 158.74
Fractional coordinates of all 8 atoms:
Pm (0.0620, 0.9380, 0.7500)
Pm (0.3189, 0.6811, 0.7500)
Pm (0.6811, 0.3189, 0.2500)
Pm (0.9380, 0.0620, 0.2500)
Sn (0.4552, 0.5448, 0.7500)
Sn (0.5448, 0.4552, 0.2500)
Bi (0.1891, 0.8109, 0.7500)
Bi (0.8109, 0.1891, 0.2500)



no.,spin magnetization (Bohr magnetons per cell),density of states at the Fermi level (states/eV per cell),relative energy among the computed polymorphs (eV per formula unit)
1,0.00,7.76,0.08
2,0.00,3.41,0.00